# HgBiICl2 (PBE, relaxed)
data_HgBiICl2
_chemical_formula_sum 'Hg1 Bi1 I1 Cl2'
_cell_length_a 5.490
_cell_length_b 5.490
_cell_length_c 6.122
_cell_angle_alpha 90.00
_cell_angle_beta 90.00
_cell_angle_gamma 90.00
_space_group_name_H-M_alt 'P 4/m m m'
_space_group_IT_number 123
_space_group_name_Hall '-P 4 2'
loop_
_atom_site_label
_atom_site_type_symbol
_atom_site_fract_x
_atom_site_fract_y
_atom_site_fract_z
Hg1 Hg 0.000 0.000 0.000
Bi1 Bi 0.500 0.500 0.500
I1 I 0.500 0.500 0.000
Cl1 Cl 0.000 0.500 0.500
# raw total energy: -2.39 eV per atom